This record from the Alexandria database describes a relaxed PtAuBr2 crystal. The functional is GGA-PBE.

It has space group Pmmm (No. 47), with a = 3.468 Å, b = 4.022 Å, c = 7.065 Å, α = 90.00°, β = 90.00° and γ = 90.00°. The asymmetric unit holds Pt at (0.000, 0.000, 0.000), Au at (0.500, 0.000, 0.500), Br at (0.000, 0.500, 0.500) and Br at (0.500, 0.500, 0.000).

The calculation puts the energy above the most stable polymorph in this dataset at 402 meV/atom. As for the crystal system: orthorhombic. As for the theoretical density: 9.3 Mg/m³. For the density of states at the Fermi level, the calculation gives 2.38 states/eV/cell.